DFT (PBE+U) results for an optimized crystal structure of CsAl2NiF8.

- spin magnetization (μB per atom) = 0.12
- final energy (eV/atom) = -5.02

a b c (Å): 5.4291 5.4291 25.0787
angles (deg): 90.00 90.00 120.00
Space group R-3 (No. 148, hexagonal axes)
Unique sites:
Cs1 0.0000 0.0000 0.0000
Al1 0.0000 0.0000 0.2352
Ni1 0.0000 0.0000 0.5000
F1 0.0000 0.0000 0.3034
F2 0.0160 0.6367 0.8828